## one
# NdTmTlPb GGA-PBE optimized geometry
# - space group = F-43m (216)
data_NdTmTlPb
_symmetry_space_group_name_H-M 'P 1'
_symmetry_Int_Tables_number 1
_cell_length_a 5.4587
_cell_length_b 5.4587
_cell_length_c 5.4587
_cell_angle_alpha 60.00
_cell_angle_beta 60.00
_cell_angle_gamma 60.00
loop_
_symmetry_equiv_pos_as_xyz
'x,y,z'
loop_
_atom_site_label
_atom_site_fract_x
_atom_site_fract_y
_atom_site_fract_z
Nd1 0.0000 0.0000 0.0000
Tm1 0.5000 0.5000 0.5000
Tl1 0.2500 0.2500 0.2500
Pb1 0.7500 0.7500 0.7500



## two
# NdTmTlPb GGA-PBE optimized geometry
# - space group = I-4m2 (119)
data_NdTmTlPb
_symmetry_space_group_name_H-M 'P 1'
_symmetry_Int_Tables_number 1
_cell_length_a 5.7178
_cell_length_b 5.7178
_cell_length_c 5.7178
_cell_angle_alpha 127.66
_cell_angle_beta 127.66
_cell_angle_gamma 77.17
loop_
_symmetry_equiv_pos_as_xyz
'x,y,z'
loop_
_atom_site_label
_atom_site_fract_x
_atom_site_fract_y
_atom_site_fract_z
Nd1 0.0000 0.0000 0.0000
Tm1 0.5000 0.5000 0.0000
Tl1 0.2500 0.7500 0.5000
Pb1 0.7500 0.2500 0.5000



Winner for stability: two



## one
# NdTm3Pb3 GGA-PBE optimized geometry
# - space group = P2_13 (198)
data_NdTm3Pb3
_symmetry_space_group_name_H-M 'P 1'
_symmetry_Int_Tables_number 1
_cell_length_a 9.3998
_cell_length_b 9.3998
_cell_length_c 9.3998
_cell_angle_alpha 90.00
_cell_angle_beta 90.00
_cell_angle_gamma 90.00
loop_
_symmetry_equiv_pos_as_xyz
'x,y,z'
loop_
_atom_site_label
_atom_site_fract_x
_atom_site_fract_y
_atom_site_fract_z
Nd1 0.0661 0.4339 0.5661
Nd2 0.4339 0.5661 0.0661
Nd3 0.5661 0.0661 0.4339
Nd4 0.9339 0.9339 0.9339
Tm1 0.0767 0.5767 0.9233
Tm2 0.1795 0.8205 0.3205
Tm3 0.1804 0.1804 0.1804
Tm4 0.3196 0.8196 0.6804
Tm5 0.3205 0.1795 0.8205
Tm6 0.4233 0.4233 0.4233
Tm7 0.5767 0.9233 0.0767
Tm8 0.6795 0.6795 0.6795
Tm9 0.6804 0.3196 0.8196
Tm10 0.8196 0.6804 0.3196
Tm11 0.8205 0.3205 0.1795
Tm12 0.9233 0.0767 0.5767
Pb1 0.0012 0.2590 0.8783
Pb2 0.1217 0.5012 0.2410
Pb3 0.2410 0.1217 0.5012
Pb4 0.2590 0.8783 0.0012
Pb5 0.3783 0.4988 0.7410
Pb6 0.4988 0.7410 0.3783
Pb7 0.5012 0.2410 0.1217
Pb8 0.6217 0.9988 0.7590
Pb9 0.7410 0.3783 0.4988
Pb10 0.7590 0.6217 0.9988
Pb11 0.8783 0.0012 0.2590
Pb12 0.9988 0.7590 0.6217



## two
# NdTm3Pb3 GGA-PBE optimized geometry
# - space group = R-3 (148)
data_NdTm3Pb3
_symmetry_space_group_name_H-M 'P 1'
_symmetry_Int_Tables_number 1
_cell_length_a 8.2665
_cell_length_b 8.2665
_cell_length_c 8.2665
_cell_angle_alpha 68.10
_cell_angle_beta 68.10
_cell_angle_gamma 68.10
loop_
_symmetry_equiv_pos_as_xyz
'x,y,z'
loop_
_atom_site_label
_atom_site_fract_x
_atom_site_fract_y
_atom_site_fract_z
Nd1 0.1670 0.1670 0.1670
Nd2 0.8330 0.8330 0.8330
Tm1 0.1192 0.4033 0.6975
Tm2 0.3025 0.8808 0.5967
Tm3 0.4033 0.6975 0.1192
Tm4 0.5967 0.3025 0.8808
Tm5 0.6975 0.1192 0.4033
Tm6 0.8808 0.5967 0.3025
Pb1 0.0583 0.7829 0.4241
Pb2 0.2171 0.5759 0.9417
Pb3 0.4241 0.0583 0.7829
Pb4 0.5759 0.9417 0.2171
Pb5 0.7829 0.4241 0.0583
Pb6 0.9417 0.2171 0.5759



Winner for stability: one



## one
# Nd5TmPb6 GGA-PBE optimized geometry
# - space group = Immm (71)
data_Nd5TmPb6
_symmetry_space_group_name_H-M 'P 1'
_symmetry_Int_Tables_number 1
_cell_length_a 9.3054
_cell_length_b 9.3054
_cell_length_c 9.3054
_cell_angle_alpha 148.53
_cell_angle_beta 120.77
_cell_angle_gamma 68.62
loop_
_symmetry_equiv_pos_as_xyz
'x,y,z'
loop_
_atom_site_label
_atom_site_fract_x
_atom_site_fract_y
_atom_site_fract_z
Nd1 0.0000 0.0000 0.0000
Nd2 0.1669 0.6669 0.5000
Nd3 0.3369 0.3369 0.0000
Nd4 0.6631 0.6631 0.0000
Nd5 0.8331 0.3331 0.5000
Tm1 0.5000 0.0000 0.5000
Pb1 0.0865 0.8350 0.2515
Pb2 0.2529 0.5000 0.7529
Pb3 0.4165 0.1650 0.2515
Pb4 0.5835 0.8350 0.7485
Pb5 0.7471 0.5000 0.2471
Pb6 0.9135 0.1650 0.7485



## two
# Nd5TmPb6 GGA-PBE optimized geometry
# - space group = C2/m (12)
data_Nd5TmPb6
_symmetry_space_group_name_H-M 'P 1'
_symmetry_Int_Tables_number 1
_cell_length_a 7.9290
_cell_length_b 7.9290
_cell_length_c 8.7703
_cell_angle_alpha 94.61
_cell_angle_beta 94.61
_cell_angle_gamma 135.62
loop_
_symmetry_equiv_pos_as_xyz
'x,y,z'
loop_
_atom_site_label
_atom_site_fract_x
_atom_site_fract_y
_atom_site_fract_z
Nd1 0.0000 0.0000 0.0000
Nd2 0.3282 0.6718 0.0000
Nd3 0.3389 0.6611 0.5000
Nd4 0.6611 0.3389 0.5000
Nd5 0.6718 0.3282 0.0000
Tm1 0.0000 0.0000 0.5000
Pb1 0.1591 0.8315 0.2572
Pb2 0.1685 0.8409 0.7428
Pb3 0.4721 0.4721 0.7550
Pb4 0.5279 0.5279 0.2450
Pb5 0.8315 0.1591 0.2572
Pb6 0.8409 0.1685 0.7428



Winner for stability: one



## one
# NdY2Pb GGA-PBE optimized geometry
# - space group = Fm-3m (225)
data_NdY2Pb
_symmetry_space_group_name_H-M 'P 1'
_symmetry_Int_Tables_number 1
_cell_length_a 5.5330
_cell_length_b 5.5330
_cell_length_c 5.5330
_cell_angle_alpha 60.00
_cell_angle_beta 60.00
_cell_angle_gamma 60.00
loop_
_symmetry_equiv_pos_as_xyz
'x,y,z'
loop_
_atom_site_label
_atom_site_fract_x
_atom_site_fract_y
_atom_site_fract_z
Nd1 0.0000 0.0000 0.0000
Y1 0.2500 0.2500 0.2500
Y2 0.7500 0.7500 0.7500
Pb1 0.5000 0.5000 0.5000



## two
# NdY2Pb GGA-PBE optimized geometry
# - space group = P4/mmm (123)
data_NdY2Pb
_symmetry_space_group_name_H-M 'P 1'
_symmetry_Int_Tables_number 1
_cell_length_a 4.9530
_cell_length_b 4.9530
_cell_length_c 4.8609
_cell_angle_alpha 90.00
_cell_angle_beta 90.00
_cell_angle_gamma 90.00
loop_
_symmetry_equiv_pos_as_xyz
'x,y,z'
loop_
_atom_site_label
_atom_site_fract_x
_atom_site_fract_y
_atom_site_fract_z
Nd1 0.0000 0.0000 0.0000
Y1 0.0000 0.5000 0.5000
Y2 0.5000 0.0000 0.5000
Pb1 0.5000 0.5000 0.0000



## three
# NdY2Pb GGA-PBE optimized geometry
# - space group = P2_1/m (11)
data_NdY2Pb
_symmetry_space_group_name_H-M 'P 1'
_symmetry_Int_Tables_number 1
_cell_length_a 4.7066
_cell_length_b 4.7790
_cell_length_c 11.6804
_cell_angle_alpha 90.00
_cell_angle_beta 101.59
_cell_angle_gamma 90.00
loop_
_symmetry_equiv_pos_as_xyz
'x,y,z'
loop_
_atom_site_label
_atom_site_fract_x
_atom_site_fract_y
_atom_site_fract_z
Nd1 0.1920 0.2500 0.3853
Nd2 0.8080 0.7500 0.6147
Y1 0.0579 0.7500 0.1157
Y2 0.4366 0.7500 0.8731
Y3 0.5634 0.2500 0.1269
Y4 0.9421 0.2500 0.8843
Pb1 0.3368 0.2500 0.6717
Pb2 0.6632 0.7500 0.3283



## four
# NdY2Pb GGA-PBE optimized geometry
# - space group = R3m (160)
data_NdY2Pb
_symmetry_space_group_name_H-M 'P 1'
_symmetry_Int_Tables_number 1
_cell_length_a 11.2740
_cell_length_b 11.2740
_cell_length_c 11.2740
_cell_angle_alpha 18.59
_cell_angle_beta 18.59
_cell_angle_gamma 18.59
loop_
_symmetry_equiv_pos_as_xyz
'x,y,z'
loop_
_atom_site_label
_atom_site_fract_x
_atom_site_fract_y
_atom_site_fract_z
Nd1 0.0000 0.0000 0.0000
Y1 0.2447 0.2447 0.2447
Y2 0.4216 0.4216 0.4216
Pb1 0.8333 0.8333 0.8333



Winner for stability: three